DFT (GGA-PBE) results for a geometry-optimized Ta3ZnCd structure.

Cell lengths 4.7179, 4.7179, 4.7179 Å; angles 90.00, 90.00, 90.00 degrees
With the nearest neighbours (Å) after each atom.
Fractional coordinates of all 5 atoms:
Ta  0.5000  0.0000  0.0000  2 Zn 2.36
Ta  0.0000  0.0000  0.5000  2 Zn 2.36
Ta  0.0000  0.5000  0.0000  2 Zn 2.36
Zn  0.0000  0.0000  0.0000  6 Ta 2.36
Cd  0.5000  0.5000  0.5000  12 Ta 3.34

Output
**Energy relative to the lowest polymorph listed for this composition**: 0 meV per atom
**Spin magnetization**: 0.00 μB per formula unit
**ρ**: 11.40 g/cm³
**Uncorrected energy**: -6.31 eV per atom
**DOS(E_F)**: 1.57 states/eV per atom


DFT (GGA-PBE) results for a geometry-optimized Nd2MgAl3Au4 structure.

Cell lengths 4.4756, 4.4756, 10.5413 Å; angles 90.00, 90.00, 90.00 degrees
With the nearest neighbours (Å) after each atom.
Fractional coordinates of all 10 atoms:
Al  0.0000  0.0000  0.5000  4 Au 2.66
Al  0.5000  0.0000  0.8724  5 Au 2.49-2.61
Al  0.0000  0.5000  0.1276  5 Au 2.49-2.61
Nd  0.5000  0.0000  0.2405  6 Al 3.38-3.53, 8 Au 3.38-3.42, 2 Mg 3.53
Nd  0.0000  0.5000  0.7595  6 Al 3.38-3.53, 8 Au 3.38-3.42, 2 Mg 3.53
Au  0.0000  0.0000  0.0000  4 Al 2.61
Au  0.0000  0.5000  0.3640  3 Al 2.49-2.66, 2 Mg 2.66
Au  0.5000  0.5000  0.0000  4 Al 2.61
Au  0.5000  0.0000  0.6360  3 Al 2.49-2.66, 2 Mg 2.66
Mg  0.5000  0.5000  0.5000  4 Au 2.66

Output
**Spin magnetization**: 0.00 μB per formula unit
**ρ**: 9.29 g/cm³
**Uncorrected energy**: -4.25 eV per atom
**DOS(E_F)**: 0.68 states/eV per atom


DFT (GGA-PBE) results for a geometry-optimized PaZnInGa structure.

Cell lengths 4.9069, 4.9069, 4.9069 Å; angles 60.00, 60.00, 60.00 degrees
With the nearest neighbours (Å) after each atom.
Fractional coordinates of all 4 atoms:
In  0.5000  0.5000  0.5000  4 Ga 3.00, 4 Zn 3.00
Pa  0.0000  0.0000  0.0000  4 Zn 3.00, 4 Ga 3.00
Zn  0.7500  0.7500  0.7500  4 Pa 3.00, 4 In 3.00
Ga  0.2500  0.2500  0.2500  4 In 3.00, 4 Pa 3.00

Output
**Energy relative to the lowest polymorph listed for this composition**: 94 meV per atom
**Spin magnetization**: 0.50 μB per formula unit
**ρ**: 9.56 g/cm³
**Uncorrected energy**: -4.18 eV per atom
**DOS(E_F)**: 1.09 states/eV per atom


DFT (GGA-PBE) results for a geometry-optimized NaSe2BrO structure.

Cell lengths 5.2193, 5.2193, 5.0920 Å; angles 90.00, 90.00, 90.00 degrees
With the nearest neighbours (Å) after each atom.
Fractional coordinates of all 5 atoms:
Se  0.5000  0.0000  0.0000  2 Na 2.61
Se  0.0000  0.5000  0.0000  2 Na 2.61
Br  0.0000  0.0000  0.5000  2 Na 2.55
Na  0.0000  0.0000  0.0000  2 Br 2.55, 4 Se 2.61
O  0.5000  0.5000  0.5000  8 Se 3.65, 4 Br 3.69

Output
**Energy relative to the lowest polymorph listed for this composition**: 1412 meV per atom
**Spin magnetization**: 0.00 μB per formula unit
**ρ**: 3.31 g/cm³
**Uncorrected energy**: -1.82 eV per atom
**DOS(E_F)**: 2.87 states/eV per atom
**Formation energy (no corrections)**: 1.167 eV/atom